VASP calculation (meta-GGA SCAN) on LaTi2AlMo at its PBEsol-relaxed geometry. Values from VASP.

```
&SYSTEM
  ibrav = 0, nat = 5, ntyp = 4
/
ATOMIC_SPECIES
Mo 95.94 Mo.upf
Ti 47.87 Ti.upf
Al 26.98 Al.upf
La 138.91 La.upf
CELL_PARAMETERS angstrom
-2.706 -1.930 3.360
-2.804 -1.964 -3.386
2.779 -3.933 -0.021
ATOMIC_POSITIONS crystal
Mo 0.500 0.000 0.000
Ti 0.000 0.000 0.500
Ti 0.000 0.500 0.000
Al 0.000 0.000 0.000
La 0.500 0.500 0.500
```

Calculated values
E_form = 0.769 eV per atom
calculated total energy = -22.791 eV per atom
symmetry = P4/mmm (123)